La2PmScSe6 | PBE | relaxed

Cell lengths 6.990, 7.725, 10.397 Å; angles 90.00, 88.49, 90.00 degrees
Positions (direct):
Se (0.336, 0.692, 0.070)
La (0.041, 0.898, 0.255)
La (0.459, 0.398, 0.245)
Se (0.316, 0.677, 0.430)
Se (0.836, 0.808, 0.570)
Se (0.357, 0.953, 0.762)
Se (0.816, 0.823, 0.930)
Sc (0.500, 0.000, 0.000)
Pm (0.500, 0.000, 0.500)
Sc (0.000, 0.500, 0.500)
Se (0.164, 0.192, 0.430)
Se (0.857, 0.547, 0.262)
Se (0.664, 0.308, 0.930)
Pm (0.000, 0.500, 0.000)
Se (0.643, 0.047, 0.238)
Se (0.143, 0.453, 0.738)
Se (0.184, 0.177, 0.070)
La (0.541, 0.602, 0.755)
La (0.959, 0.102, 0.745)
Se (0.684, 0.323, 0.570)

Output
Its uncorrected formation energy is -1.901 eV per atom.

---

Na3NdSc2S6 | PBE | relaxed

Cell lengths 6.750, 6.750, 7.036 Å; angles 99.26, 99.26, 120.05 degrees
Positions (direct):
S (0.572, 0.926, 0.779)
Nd (0.000, 0.000, 0.000)
Sc (0.333, 0.667, 0.000)
S (0.074, 0.428, 0.221)
Sc (0.667, 0.333, 0.000)
S (0.280, 0.280, 0.778)
S (0.720, 0.720, 0.222)
Na (0.836, 0.164, 0.500)
Na (0.164, 0.836, 0.500)
S (0.926, 0.572, 0.779)
Na (0.500, 0.500, 0.500)
S (0.428, 0.074, 0.221)

Output
Its uncorrected formation energy is -1.742 eV per atom.

---

BiSbSe2 | PBE | relaxed

Cell lengths 9.494, 9.494, 9.494 Å; angles 24.27, 24.27, 24.27 degrees
Positions (direct):
Bi (0.500, 0.500, 0.500)
Se (0.899, 0.899, 0.899)
Sb (0.000, 0.000, 0.000)
Se (0.101, 0.101, 0.101)

Output
Its uncorrected formation energy is -0.059 eV per atom. Its offset from the most stable computed form is 4.03 kJ per mole of atoms.

---

RbAcP | PBE | relaxed

Cell lengths 4.088, 4.088, 8.425 Å; angles 104.04, 104.04, 90.00 degrees
Positions (direct):
Rb (0.030, 0.030, 0.061)
Ac (0.264, 0.264, 0.529)
P (0.705, 0.705, 0.410)

Output
Its offset from the most stable computed form is 1.94 kJ per mole of atoms. The energy of formation comes out at -569 meV/atom.

---

ErGa6Ru5 | PBE | relaxed

Cell lengths 7.571, 4.385, 7.010 Å; angles 72.05, 79.73, 54.62 degrees
Positions (direct):
Ru (0.500, 0.500, 0.000)
Ru (0.500, 0.156, 0.673)
Ru (0.000, 0.310, 0.310)
Ga (0.263, 0.554, 0.359)
Ru (0.500, 0.844, 0.327)
Ru (0.000, 0.690, 0.690)
Ga (0.281, 0.219, 0.000)
Ga (0.719, 0.781, 0.000)
Ga (0.737, 0.081, 0.359)
Ga (0.263, 0.919, 0.641)
Er (0.000, 0.000, 0.000)
Ga (0.737, 0.446, 0.641)

Output
The energy of formation comes out at -342 meV/atom.

---

La4Sc | PBE | relaxed

Cell lengths 5.817, 5.817, 5.817 Å; angles 90.00, 90.00, 90.00 degrees
Positions (direct):
La (0.500, 0.500, 0.000)
La (0.000, 0.500, 0.500)
La (0.000, 0.000, 0.000)
La (0.500, 0.000, 0.500)
Sc (0.500, 0.500, 0.500)

Output
Its offset from the most stable computed form is 44.73 kJ per mole of atoms. The energy of formation comes out at 500 meV/atom.

---

Li3NiP | PBE | relaxed

Cell lengths 4.536, 4.536, 4.536 Å; angles 90.00, 90.00, 90.00 degrees
Positions (direct):
Li (0.000, 0.500, 0.000)
Li (0.500, 0.000, 0.000)
Ni (0.500, 0.500, 0.500)
Li (0.000, 0.000, 0.500)
P (0.000, 0.000, 0.000)

Output
Its offset from the most stable computed form is 0.00 kJ per mole of atoms. The energy of formation comes out at 221 meV/atom.

---

Mg6InIr5 | PBE | relaxed

Cell lengths 4.767, 5.948, 7.004 Å; angles 90.00, 95.51, 90.00 degrees
Positions (direct):
Mg (0.500, 0.263, 0.000)
Mg (0.782, 0.258, 0.638)
Ir (0.000, 0.500, 0.000)
Ir (0.686, 0.000, 0.316)
Mg (0.218, 0.742, 0.362)
In (0.000, 0.000, 0.000)
Mg (0.218, 0.258, 0.362)
Ir (0.279, 0.500, 0.696)
Mg (0.782, 0.742, 0.638)
Ir (0.314, 0.000, 0.684)
Mg (0.500, 0.737, 0.000)
Ir (0.721, 0.500, 0.304)

Output
The energy of formation comes out at -268 meV/atom.

---

Er3ScPb2 | PBE | relaxed

Cell lengths 4.484, 4.484, 8.340 Å; angles 90.00, 90.00, 90.00 degrees
Positions (direct):
Pb (0.500, 0.000, 0.721)
Pb (0.000, 0.500, 0.279)
Sc (0.500, 0.500, 0.000)
Er (0.500, 0.000, 0.339)
Er (0.000, 0.500, 0.661)
Er (0.000, 0.000, 0.000)

Output
The energy of formation comes out at -413 meV/atom.

---

Dy3Ga2Ru3C | PBE | relaxed

Cell lengths 3.441, 7.237, 7.237 Å; angles 120.00, 90.00, 90.00 degrees
Positions (direct):
Dy (0.000, 0.366, 0.000)
Ru (0.500, 0.222, 0.222)
Ga (0.500, 0.667, 0.333)
Ru (0.500, 0.000, 0.778)
Ga (0.500, 0.333, 0.667)
Dy (0.000, 0.634, 0.634)
C (0.000, 0.000, 0.000)
Ru (0.500, 0.778, 0.000)
Dy (0.000, 0.000, 0.366)

Output
The energy of formation comes out at -284 meV/atom.

---

Li2BeRh | PBE | relaxed

Cell lengths 2.543, 2.543, 8.068 Å; angles 90.00, 90.00, 90.00 degrees
Positions (direct):
Li (0.000, 0.000, 0.501)
Rh (0.500, 0.500, 0.250)
Li (0.000, 0.000, 0.999)
Be (0.500, 0.500, 0.750)

Output
The energy of formation comes out at 171 meV/atom.

---

La4GeBi | PBE | relaxed

Cell lengths 6.363, 8.851, 8.578 Å; angles 113.34, 101.79, 108.83 degrees
Positions (direct):
La (0.281, 0.623, 0.841)
La (0.779, 0.715, 0.636)
Bi (0.629, 0.379, 0.757)
La (0.719, 0.377, 0.159)
Ge (0.749, 0.999, 0.998)
La (0.643, 0.079, 0.364)
La (0.221, 0.285, 0.364)
La (0.357, 0.921, 0.636)
La (0.940, 0.782, 0.159)
Ge (0.251, 0.001, 0.002)
La (0.060, 0.218, 0.841)
Bi (0.371, 0.621, 0.243)

Output
Its offset from the most stable computed form is 0.74 kJ per mole of atoms. The energy of formation comes out at -625 meV/atom.

---

CrTe4Ir | PBE | relaxed

Cell lengths 3.940, 6.671, 11.821 Å; angles 89.95, 90.00, 90.00 degrees
Positions (direct):
Te (0.000, 0.340, 0.125)
Cr (0.500, 0.500, 0.500)
Te (0.000, 0.660, 0.875)
Te (0.500, 0.165, 0.873)
Te (0.000, 0.335, 0.627)
Ir (0.000, 0.000, 0.500)
Cr (0.000, 0.000, 0.000)
Te (0.500, 0.835, 0.127)
Te (0.500, 0.840, 0.625)
Ir (0.500, 0.500, 0.000)
Te (0.500, 0.160, 0.375)
Te (0.000, 0.665, 0.373)

Output
Its uncorrected formation energy is -0.194 eV per atom. Its offset from the most stable computed form is 0.00 kJ per mole of atoms.

---

KMnPb2Br8 | PBE | relaxed

Cell lengths 7.192, 6.672, 9.006 Å; angles 89.95, 89.99, 86.81 degrees
Positions (direct):
Pb (0.500, 0.500, 0.765)
Mn (0.000, 0.000, 0.000)
Br (0.655, 0.715, 0.500)
Br (0.674, 0.762, 0.000)
Pb (0.500, 0.500, 0.235)
Br (0.862, 0.223, 0.805)
Br (0.138, 0.778, 0.805)
Br (0.345, 0.285, 0.500)
Br (0.138, 0.777, 0.195)
K (0.000, 0.000, 0.500)
Br (0.326, 0.238, 0.000)
Br (0.862, 0.222, 0.195)

Output
Its uncorrected formation energy is -0.921 eV per atom.

---

ZrTl2Tc | PBE | relaxed

Cell lengths 5.260, 5.260, 5.260 Å; angles 130.58, 130.58, 72.49 degrees
Positions (direct):
Tl (0.000, 0.000, 0.000)
Zr (0.250, 0.750, 0.500)
Tl (0.500, 0.500, 0.000)
Tc (0.750, 0.250, 0.500)

Output
Its offset from the most stable computed form is 12.53 kJ per mole of atoms. The energy of formation comes out at 364 meV/atom.

---

Ac8Pr4Mg | PBE | relaxed

Cell lengths 11.843, 11.843, 8.368 Å; angles 90.00, 135.04, 120.00 degrees
Positions (direct):
Ac (0.510, 0.755, 0.756)
Ac (0.001, 0.755, 0.756)
Mg (0.000, 0.500, 0.500)
Ac (0.001, 0.246, 0.756)
Ac (0.999, 0.245, 0.244)
Pr (0.000, 0.500, 0.000)
Ac (0.490, 0.245, 0.735)
Pr (0.500, 0.000, 0.000)
Ac (0.999, 0.754, 0.244)
Pr (0.000, 0.000, 0.000)
Pr (0.500, 0.500, 0.000)
Ac (0.490, 0.245, 0.244)
Ac (0.510, 0.755, 0.265)

Output
The energy of formation comes out at 421 meV/atom.

---

KP2Se | PBE | relaxed

Cell lengths 3.987, 4.871, 6.674 Å; angles 89.60, 90.00, 90.00 degrees
Positions (direct):
K (0.500, 0.751, 0.688)
Se (0.000, 0.252, 0.537)
P (0.000, 0.249, 0.209)
P (0.500, 0.247, 0.066)

Output
Its uncorrected formation energy is -0.206 eV per atom.

---

PrNdDy2Hg4 | PBE | relaxed

Cell lengths 5.363, 5.363, 9.278 Å; angles 73.20, 73.20, 60.00 degrees
Positions (direct):
Hg (0.626, 0.626, 0.123)
Dy (0.250, 0.250, 0.250)
Nd (0.000, 0.000, 0.000)
Pr (0.500, 0.500, 0.500)
Dy (0.750, 0.750, 0.750)
Hg (0.876, 0.876, 0.373)
Hg (0.124, 0.124, 0.627)
Hg (0.374, 0.374, 0.877)

Output
The energy of formation comes out at -465 meV/atom.

---

Ac3ZnCu2Pd6 | PBE | relaxed

Cell lengths 5.874, 5.874, 8.860 Å; angles 90.00, 90.00, 120.00 degrees
Positions (direct):
Pd (0.347, 0.173, 0.717)
Zn (0.000, 0.000, 0.500)
Cu (0.333, 0.667, 0.046)
Pd (0.827, 0.173, 0.717)
Ac (0.333, 0.667, 0.633)
Pd (0.173, 0.347, 0.283)
Ac (0.667, 0.333, 0.367)
Pd (0.827, 0.653, 0.717)
Pd (0.653, 0.827, 0.283)
Pd (0.173, 0.827, 0.283)
Ac (0.000, 0.000, 0.000)
Cu (0.667, 0.333, 0.954)

Output
The energy of formation comes out at -548 meV/atom.

---

KIn3P | PBE | relaxed

Cell lengths 5.934, 5.934, 5.934 Å; angles 90.00, 90.00, 90.00 degrees
Positions (direct):
K (0.000, 0.000, 0.000)
In (0.000, 0.500, 0.000)
In (0.000, 0.000, 0.500)
P (0.500, 0.500, 0.500)
In (0.500, 0.000, 0.000)

Output
Its offset from the most stable computed form is 98.60 kJ per mole of atoms. The energy of formation comes out at 1218 meV/atom.

---

PmDy3Th | PBE | relaxed

Cell lengths 6.267, 5.751, 9.594 Å; angles 90.00, 70.97, 90.00 degrees
Positions (direct):
Dy (0.471, 0.250, 0.898)
Dy (0.529, 0.750, 0.102)
Th (0.651, 0.250, 0.501)
Dy (0.935, 0.750, 0.306)
Pm (0.865, 0.250, 0.105)
Dy (0.065, 0.250, 0.694)
Dy (0.263, 0.250, 0.303)
Th (0.349, 0.750, 0.499)
Pm (0.135, 0.750, 0.895)
Dy (0.737, 0.750, 0.697)

Output
Its offset from the most stable computed form is 0.00 kJ per mole of atoms. The energy of formation comes out at 42 meV/atom.

---

La8Co3CCl4 | PBE | relaxed

Cell lengths 7.781, 8.745, 8.211 Å; angles 117.11, 118.28, 90.00 degrees
Positions (direct):
La (0.252, 0.305, 0.014)
Co (0.500, 0.500, 0.000)
C (0.000, 0.500, 0.000)
Cl (0.000, 0.000, 0.500)
La (0.744, 0.705, 0.489)
Cl (0.000, 0.000, 0.000)
La (0.748, 0.695, 0.986)
Co (0.500, 0.500, 0.500)
Cl (0.500, 0.000, 0.000)
Cl (0.500, 0.000, 0.500)
La (0.762, 0.305, 0.014)
La (0.767, 0.311, 0.534)
La (0.256, 0.295, 0.511)
Co (0.000, 0.500, 0.500)
La (0.233, 0.689, 0.466)
La (0.238, 0.695, 0.986)

Output
Its uncorrected formation energy is -0.930 eV per atom.

---

BeAlPt2 | PBE | relaxed

Cell lengths 4.312, 4.312, 4.312 Å; angles 60.00, 60.00, 60.00 degrees
Positions (direct):
Pt (0.000, 0.000, 0.000)
Pt (0.750, 0.750, 0.750)
Al (0.500, 0.500, 0.500)
Be (0.250, 0.250, 0.250)

Output
The energy of formation comes out at -386 meV/atom.

---

BaTlAu2 | PBE | relaxed

Cell lengths 4.265, 4.265, 6.594 Å; angles 90.00, 90.00, 90.00 degrees
Positions (direct):
Au (0.000, 0.000, 0.955)
Au (0.500, 0.500, 0.260)
Ba (0.000, 0.000, 0.460)
Tl (0.500, 0.500, 0.826)

Output
The energy of formation comes out at -334 meV/atom.

---

Calculated raw total energy in order - -6.09 -5.59 -3.80 -4.06 -6.10 -4.71 -3.17 -4.99 -4.99 -6.61 -3.55 -5.33 -5.37 -3.51 -5.55 -3.70 -4.06 -2.96 -4.96 -1.73 -5.15 -5.76 -5.27 -3.05 eV per atom
Calculated DOS at the Fermi energy in order - 0.00 0.00 1.23 1.25 4.58 9.54 10.28 6.93 4.35 4.57 3.24 15.05 7.42 0.68 3.20 22.01 2.30 9.43 6.40 3.65 17.87 7.68 1.06 2.41 states/eV per cell